[1]
Computed, not measured: an optimized crystal structure of Rb2Cu2AuBr6 at the GGA-PBE level of DFT.

abc: 7.365 8.170 7.187
angles: 108.19 90.00 116.79
Element x y z (fractional)
Br (0.780, 0.561, 0.718)
Br (0.201, 0.898, 0.218)
Br (0.697, 0.898, 0.218)
Cu (0.050, 0.099, 0.199)
Br (0.799, 0.102, 0.782)
Br (0.220, 0.439, 0.282)
Br (0.303, 0.102, 0.782)
Au (0.500, 0.000, 0.500)
Rb (0.722, 0.444, 0.201)
Rb (0.278, 0.556, 0.799)
Cu (0.950, 0.901, 0.801)

Calculated values
ΔE_f (raw) = -826 kJ/mol of formula units
Total DFT energy (no corrections) = -32.01 eV per cell
Total magnetization = 0.00 μB/cell
Space group = No. 12

[2]
Computed, not measured: an optimized crystal structure of CeZrAgIr at the GGA-PBE level of DFT.

abc: 4.920 4.920 4.920
angles: 60.00 60.00 60.00
Element x y z (fractional)
Ce (0.750, 0.750, 0.750)
Ag (0.000, 0.000, 0.000)
Ir (0.500, 0.500, 0.500)
Zr (0.250, 0.250, 0.250)

Calculated values
Total DFT energy (no corrections) = -27.35 eV per cell
Total magnetization = 0.60 μB/cell
Space group = No. 216

[3]
Computed, not measured: an optimized crystal structure of BiTe2Au2 at the GGA-PBE level of DFT.

abc: 7.986 7.986 3.911
angles: 90.00 90.00 90.00
Element x y z (fractional)
Te (0.818, 0.318, 0.500)
Te (0.682, 0.818, 0.500)
Au (0.625, 0.125, 0.000)
Bi (0.500, 0.500, 0.000)
Au (0.875, 0.625, 0.000)
Bi (0.000, 0.000, 0.000)
Te (0.182, 0.682, 0.500)
Au (0.375, 0.875, 0.000)
Te (0.318, 0.182, 0.500)
Au (0.125, 0.375, 0.000)

Calculated values
ΔE_f (raw) = 52 kJ/mol of formula units
Total DFT energy (no corrections) = -32.36 eV per cell
Total magnetization = 0.00 μB/cell
Space group = No. 127

[4]
Computed, not measured: an optimized crystal structure of La4CuCl at the GGA-PBE level of DFT.

abc: 6.424 6.424 6.424
angles: 60.00 60.00 60.00
Element x y z (fractional)
La (0.374, 0.879, 0.374)
Cl (0.750, 0.750, 0.750)
La (0.879, 0.374, 0.374)
Cu (0.000, 0.000, 0.000)
La (0.374, 0.374, 0.374)
La (0.374, 0.374, 0.879)

Calculated values
ΔE_f (raw) = 186 kJ/mol of formula units
Total DFT energy (no corrections) = -23.72 eV per cell
Total magnetization = 0.36 μB/cell
Space group = No. 216

total magnetization of number 3 (BiTe2Au2)?
0.00 μB/cell